Record 1
Below is a geometry-optimized CaPAuCl2 structure, with properties calculated at the PBEsol level.

Output
volume	23.98	Å³ per atom
E_form (uncorrected)	-0.39	eV per atom

a = 4.8696 Å, b = 4.9620 Å, c = 4.9620 Å
α = 90.00°, β = 90.00°, γ = 90.00°
Each line ends with the local moment (μB).
Positions (direct):
P (0.5000, 0.0000, 0.0000)  0.21
Ca (0.5000, 0.5000, 0.5000)  0.01
Cl (0.0000, 0.0000, 0.5000)  0.02
Cl (0.0000, 0.5000, 0.0000)  0.02
Au (0.0000, 0.0000, 0.0000)  0.06

=====

Record 2
Below is a geometry-optimized Li4MnOF5 structure, with properties calculated at the PBEsol level.

Output
volume	10.76	Å³ per atom
energy relative to the lowest polymorph listed for this composition	0.012	eV per atom
E_form (uncorrected)	-2.61	eV per atom

a = 5.7131 Å, b = 5.7170 Å, c = 12.5536 Å
α = 89.96°, β = 89.92°, γ = 60.02°
Each line ends with the local moment (μB).
Positions (direct):
F (0.9996, 0.3278, 0.4754)  0.00
F (0.3310, 0.3353, 0.3198)  0.00
F (0.6662, 0.6647, 0.3198)  0.00
F (0.0015, 0.0000, 0.3092)  0.00
F (0.0490, 0.0000, 0.6567)  0.00
F (0.6642, 0.0000, 0.8326)  0.01
F (0.0007, 0.3391, 0.8335)  0.01
F (0.3398, 0.6609, 0.8335)  0.01
F (0.0000, 0.3177, 0.1323)  0.05
F (0.6832, 0.0000, 0.1325)  0.05
F (0.6651, 0.6178, 0.6497)  0.00
F (0.3177, 0.6823, 0.1323)  0.05
F (0.3274, 0.6722, 0.4754)  0.00
F (0.6694, 0.0000, 0.4713)  0.00
F (0.2828, 0.3822, 0.6497)  0.00
Li (0.9972, 0.0000, 0.7956)  0.00
Li (0.3284, 0.6702, 0.6220)  0.00
Li (0.0008, 0.0000, 0.1663)  0.00
Li (0.9891, 0.0000, 0.4712)  0.00
Li (0.6469, 0.0000, 0.3154)  0.00
Li (0.3405, 0.3273, 0.7888)  0.00
Li (0.9986, 0.3298, 0.6220)  0.00
Li (0.3438, 0.3225, 0.4774)  0.00
Li (0.6663, 0.6775, 0.4774)  0.00
Li (0.3504, 0.6490, 0.3154)  0.00
Li (0.6678, 0.6727, 0.7888)  0.00
Li (0.9994, 0.3510, 0.3154)  0.00
Mn (0.3374, 0.6632, 0.9879)  3.33
Mn (0.6649, 0.0000, 0.9881)  3.33
Mn (0.0005, 0.3368, 0.9879)  3.33
O (0.6675, 0.6673, 0.9800)  0.08
O (0.3349, 0.3327, 0.9800)  0.08
O (0.0011, 0.0000, 0.9779)  0.07

=====

Repeat the second record exactly.
Below is a geometry-optimized Li4MnOF5 structure, with properties calculated at the PBEsol level.

Output
volume	10.76	Å³ per atom
energy relative to the lowest polymorph listed for this composition	0.012	eV per atom
E_form (uncorrected)	-2.61	eV per atom

a = 5.7131 Å, b = 5.7170 Å, c = 12.5536 Å
α = 89.96°, β = 89.92°, γ = 60.02°
Each line ends with the local moment (μB).
Positions (direct):
F (0.9996, 0.3278, 0.4754)  0.00
F (0.3310, 0.3353, 0.3198)  0.00
F (0.6662, 0.6647, 0.3198)  0.00
F (0.0015, 0.0000, 0.3092)  0.00
F (0.0490, 0.0000, 0.6567)  0.00
F (0.6642, 0.0000, 0.8326)  0.01
F (0.0007, 0.3391, 0.8335)  0.01
F (0.3398, 0.6609, 0.8335)  0.01
F (0.0000, 0.3177, 0.1323)  0.05
F (0.6832, 0.0000, 0.1325)  0.05
F (0.6651, 0.6178, 0.6497)  0.00
F (0.3177, 0.6823, 0.1323)  0.05
F (0.3274, 0.6722, 0.4754)  0.00
F (0.6694, 0.0000, 0.4713)  0.00
F (0.2828, 0.3822, 0.6497)  0.00
Li (0.9972, 0.0000, 0.7956)  0.00
Li (0.3284, 0.6702, 0.6220)  0.00
Li (0.0008, 0.0000, 0.1663)  0.00
Li (0.9891, 0.0000, 0.4712)  0.00
Li (0.6469, 0.0000, 0.3154)  0.00
Li (0.3405, 0.3273, 0.7888)  0.00
Li (0.9986, 0.3298, 0.6220)  0.00
Li (0.3438, 0.3225, 0.4774)  0.00
Li (0.6663, 0.6775, 0.4774)  0.00
Li (0.3504, 0.6490, 0.3154)  0.00
Li (0.6678, 0.6727, 0.7888)  0.00
Li (0.9994, 0.3510, 0.3154)  0.00
Mn (0.3374, 0.6632, 0.9879)  3.33
Mn (0.6649, 0.0000, 0.9881)  3.33
Mn (0.0005, 0.3368, 0.9879)  3.33
O (0.6675, 0.6673, 0.9800)  0.08
O (0.3349, 0.3327, 0.9800)  0.08
O (0.0011, 0.0000, 0.9779)  0.07

=====

Q: Look up the volume of the second one.
A: 10.76 Å³ per atom